Entry 1:
4
Lattice="0.000 3.631 3.631 3.631 0.000 3.631 3.631 3.631 0.000" Properties=species:S:1:pos:R:3 comment="PBE-GGA LaMg2Zn, optimized geometry" density_g_cm3=4.4 total_energy_ev_per_cell=-10.12 pbc="T T T"
La 1.816 1.816 1.816
Mg 0.000 0.000 0.000
Mg 5.447 5.447 5.447
Zn 3.631 3.631 3.631

***

Entry 2:
6
Lattice="-7.844 -2.806 -0.371 -5.083 0.952 6.542 -6.344 5.397 -0.399" Properties=species:S:1:pos:R:3 comment="PBE-GGA La2Mo, optimized geometry" density_g_cm3=3.0 formation_energy_ev_per_atom=1.06 total_energy_ev_per_cell=-35.03 pbc="T T T"
La -11.149 -0.074 1.979
La -9.768 1.805 5.435
La -7.227 1.329 2.164
La -10.399 4.027 1.965
Mo -4.818 0.886 1.443
Mo -9.635 1.772 2.886

***

Entry 3:
18
Lattice="5.347 -5.228 1.531 -4.331 -6.241 0.755 -0.031 4.825 -5.915" Properties=species:S:1:pos:R:3 comment="PBE-GGA La3MoN5, optimized geometry" density_g_cm3=6.9 total_energy_ev_per_cell=-155.60 pbc="T T T"
La 0.254 -2.867 0.572
La 0.762 -8.602 1.715
La 2.997 -5.614 0.640
La 0.945 -0.381 -2.329
La 0.040 -6.263 -1.299
La -2.012 -1.029 -4.269
Mo 2.912 -3.069 -1.620
Mo -1.927 -3.575 -2.008
N 0.000 0.000 0.000
N 0.508 -5.734 1.143
N 2.669 -1.682 -0.399
N -1.973 -4.411 -0.343
N 4.474 -4.027 -1.282
N 1.547 -4.333 -1.516
N -0.562 -2.310 -2.112
N -3.489 -2.616 -2.347
N 2.958 -2.232 -3.285
N -1.684 -4.961 -3.230

***

Entry 4:
80
Lattice="-6.552 6.552 6.552 6.552 -6.552 6.552 6.552 6.552 -6.552" Properties=species:S:1:pos:R:3 comment="PBE-GGA La3Nb3Mo2N12, optimized geometry" density_g_cm3=6.2 total_energy_ev_per_cell=-732.25 pbc="T T T"
La 1.638 0.000 3.276
La 3.276 -1.638 6.552
La 0.000 3.276 1.638
La 0.000 3.276 8.190
La -1.638 6.552 3.276
La 3.276 1.638 0.000
La 3.276 4.914 6.552
La 8.190 0.000 3.276
La 6.552 3.276 -1.638
La 6.552 3.276 4.914
La 3.276 8.190 0.000
La 4.914 6.552 3.276
Mo 0.000 0.000 0.000
Mo -3.276 3.276 3.276
Mo 3.276 -3.276 3.276
Mo 0.000 0.000 6.552
Mo 3.276 3.276 -3.276
Mo 0.000 6.552 0.000
Mo 6.552 0.000 0.000
Mo 3.276 3.276 3.276
N -0.409 0.635 1.901
N 3.911 -3.685 7.927
N -2.641 3.685 7.927
N 0.409 0.635 8.453
N -0.635 1.901 6.143
N -1.375 2.641 10.237
N 1.901 -0.409 0.635
N 2.867 -1.375 9.193
N 3.685 -1.375 3.911
N 1.901 0.409 5.917
N 0.635 1.901 -0.409
N -1.375 3.911 3.685
N 1.375 2.641 3.685
N 5.917 -1.901 6.143
N -3.685 7.927 3.911
N -1.901 6.143 5.917
N 3.685 1.375 2.641
N 4.651 0.409 7.187
N 0.635 4.651 6.143
N 7.927 -2.641 3.685
N 6.143 -0.635 1.901
N 2.641 2.867 7.927
N 0.409 5.917 1.901
N 2.641 3.685 1.375
N 3.911 2.867 5.177
N 6.143 0.635 4.651
N 3.911 3.685 -1.375
N 0.409 7.187 4.651
N -1.375 9.193 2.867
N 5.917 1.901 0.409
N 1.901 6.143 -0.635
N 2.867 5.177 3.911
N 8.453 0.409 0.635
N 10.237 -1.375 2.641
N 0.635 8.453 0.409
N 5.177 3.911 2.867
N 7.927 2.641 2.867
N 5.917 4.651 6.961
N 4.651 6.143 0.635
N 2.867 7.927 2.641
N 3.685 7.927 -2.641
N 4.651 6.961 5.917
N 7.927 3.911 -3.685
N 7.187 4.651 0.409
N 6.143 5.917 -1.901
N 9.193 2.867 -1.375
N 2.641 10.237 -1.375
N 6.961 5.917 4.651
Nb -3.276 4.914 6.552
Nb 1.638 0.000 9.828
Nb 0.000 3.276 4.914
Nb 6.552 -3.276 4.914
Nb 4.914 0.000 3.276
Nb 3.276 1.638 6.552
Nb 3.276 4.914 0.000
Nb 1.638 6.552 3.276
Nb 0.000 9.828 1.638
Nb 6.552 3.276 1.638
Nb 4.914 6.552 -3.276
Nb 9.828 1.638 0.000

***

Listing total magnetic moment for the structures above in their given order: 0.005; 0.005; 0.005; 0.016 μB per cell.